# K2BeAg | Alexandria | GGA-PBE | optimized geometry
data_K2BeAg
_chemical_formula_sum 'K8 Be4 Ag4'
_cell_length_a 7.717
_cell_length_b 7.717
_cell_length_c 7.717
_cell_angle_alpha 90.00
_cell_angle_beta 90.00
_cell_angle_gamma 90.00
_symmetry_space_group_name_H-M 'F -4 3 m'
_symmetry_Int_Tables_number 216
_symmetry_space_group_name_Hall 'F -4 2 3'
loop_
_atom_site_label
_atom_site_type_symbol
_atom_site_fract_x
_atom_site_fract_y
_atom_site_fract_z
_atom_site_occupancy
K1 K 0.000 0.000 0.000 1
K2 K 0.250 0.250 0.250 1
Be1 Be 0.000 0.000 0.500 1
Ag1 Ag 0.250 0.250 0.750 1
# Energy relative to the elements: 0.64 eV per atom
# D(E_F): 15.19 states/eV/cell